(1)
Computed, not measured: a relaxed Er2TeRh crystal at the PBE level of DFT.

Results
- total magnetization (μB per formula unit) = 0.00
- excess energy over the best structure of this formula in the dataset (eV/f.u.) = 0.42
- E_form (uncorrected) (meV per atom) = -918
- space-group type = P4/mmm

Cell: 3.5966 3.5966 7.2315 Å, 90.00 90.00 90.00°
With the nearest neighbours (Å) after each atom.
Element x y z (fractional)
Rh  0.5000  0.5000  0.0000  8 Er 3.01
Er  0.0000  0.0000  0.2234  4 Rh 3.01, 1 Er 3.23, 4 Te 3.24
Er  0.0000  0.0000  0.7766  4 Rh 3.01, 1 Er 3.23, 4 Te 3.24
Te  0.5000  0.5000  0.5000  8 Er 3.24, 4 Te 3.60, 2 Rh 3.62


(2)
Computed, not measured: a relaxed Er7Te2Rh2 crystal at the PBE level of DFT.

Results
- total magnetization (μB per formula unit) = 0.00
- excess energy over the best structure of this formula in the dataset (eV/f.u.) = 4.46
- E_form (uncorrected) (meV per atom) = -482
- space-group type = C2/m

Cell: 7.7020 7.0499 7.0499 Å, 107.42 98.17 98.17°
With the nearest neighbours (Å) after each atom.
Element x y z (fractional)
Er  0.2029  0.4626  0.9262  1 Rh 2.72
Er  0.0000  0.0000  0.0000  2 Rh 2.67
Er  0.1996  0.4312  0.4312  2 Rh 2.65-2.69
Te  0.5000  0.6997  0.3003  6 Er 3.09-3.19
Rh  0.8608  0.2642  0.2642  5 Er 2.65-2.72
Er  0.7971  0.5374  0.0738  1 Rh 2.72
Er  0.7971  0.0738  0.5374  1 Rh 2.72
Rh  0.1392  0.7358  0.7358  5 Er 2.65-2.72
Er  0.8004  0.5688  0.5688  2 Rh 2.65-2.69
Er  0.2029  0.9262  0.4626  1 Rh 2.72
Te  0.5000  0.3003  0.6997  6 Er 3.09-3.19


(3)
Computed, not measured: a relaxed Er2TeRh crystal at the PBE level of DFT.

Results
- total magnetization (μB per formula unit) = 0.00
- excess energy over the best structure of this formula in the dataset (eV/f.u.) = 0.01
- E_form (uncorrected) (meV per atom) = -1021
- space-group type = R-3m

Cell: 4.0713 4.0713 7.5823 Å, 89.99 105.58 120.01°
With the nearest neighbours (Å) after each atom.
Element x y z (fractional)
Te  0.0000  0.5000  0.5000  6 Er 3.15
Er  0.5278  0.2638  0.7917  3 Rh 2.79
Er  0.4722  0.7362  0.2083  3 Rh 2.79
Rh  0.0000  0.0000  0.0000  6 Er 2.79


(4)
Computed, not measured: a relaxed ErTeRh crystal at the PBE level of DFT.

Results
- total magnetization (μB per formula unit) = 0.00
- E_form (uncorrected) (meV per atom) = -954
- space-group type = P3m1

Cell: 3.8226 4.4629 4.4629 Å, 120.00 90.00 90.00°
With the nearest neighbours (Å) after each atom.
Element x y z (fractional)
Te  0.1403  0.0000  0.0000  3 Rh 2.59
Er  0.6536  0.3333  0.6667  6 Rh 3.09-3.33, 6 Te 3.18-3.24
Rh  0.2061  0.6667  0.3333  3 Te 2.59


(5)
Computed, not measured: a relaxed Er4Te3Rh crystal at the PBE level of DFT.

Results
- total magnetization (μB per formula unit) = 0.00
- E_form (uncorrected) (meV per atom) = -1180
- space-group type = P2/c

Cell: 7.2413 7.6273 8.6354 Å, 90.00 90.00 108.88°
With the nearest neighbours (Å) after each atom.
Element x y z (fractional)
Te  0.2500  0.5000  0.8778  6 Er 3.03-3.30
Er  0.9926  0.7867  0.8879  2 Rh 2.75-2.80, 1 Te 3.08
Te  0.7500  0.5000  0.6117  6 Er 3.05-3.41
Te  0.7500  0.5000  0.1222  6 Er 3.03-3.30
Er  0.5328  0.7763  0.6663  1 Rh 2.72, 1 Te 3.03
Rh  0.7500  0.0000  0.8900  6 Er 2.72-2.80
Er  0.4926  0.7867  0.1121  2 Rh 2.75-2.80, 1 Te 3.08
Er  0.0074  0.2133  0.1121  2 Rh 2.75-2.80, 1 Te 3.08
Rh  0.2500  0.0000  0.1100  6 Er 2.72-2.80
Er  0.0328  0.7763  0.3337  1 Rh 2.72, 1 Te 3.03
Te  0.2500  0.5000  0.3883  6 Er 3.05-3.41
Te  0.2500  0.0000  0.6136  6 Er 3.08-3.13
Er  0.5074  0.2133  0.8879  2 Rh 2.75-2.80, 1 Te 3.08
Te  0.7500  0.0000  0.3864  6 Er 3.08-3.13
Er  0.9672  0.2237  0.6663  1 Rh 2.72, 1 Te 3.03
Er  0.4672  0.2237  0.3337  1 Rh 2.72, 1 Te 3.03


(6)
Computed, not measured: a relaxed Er4TeRh crystal at the PBE level of DFT.

Results
- total magnetization (μB per formula unit) = 0.00
- excess energy over the best structure of this formula in the dataset (eV/f.u.) = 0.00
- E_form (uncorrected) (meV per atom) = -797
- space-group type = Pnma

Cell: 3.9180 8.1704 19.2984 Å, 90.00 90.00 90.00°
With the nearest neighbours (Å) after each atom.
Element x y z (fractional)
Te  0.7500  0.2430  0.6881  9 Er 3.16-3.42
Rh  0.7500  0.7344  0.0499  7 Er 2.83-3.08
Te  0.2500  0.2570  0.1881  9 Er 3.16-3.42
Er  0.7500  0.3573  0.0489  3 Rh 2.83-3.08
Er  0.7500  0.3625  0.8515  2 Rh 2.84
Er  0.2500  0.6427  0.9511  3 Rh 2.83-3.08
Er  0.2500  0.0426  0.7847  4 Te 3.16-3.18, 4 Er 3.46-3.51
Er  0.7500  0.4574  0.2847  4 Te 3.16-3.18, 4 Er 3.46-3.51
Er  0.2500  0.5426  0.7153  4 Te 3.16-3.18, 4 Er 3.46-3.51
Er  0.2500  0.4900  0.4318  3 Rh 2.88-3.20, 1 Te 3.18
Er  0.2500  0.6375  0.1485  2 Rh 2.84
Rh  0.2500  0.7656  0.5499  7 Er 2.83-3.08
Er  0.2500  0.1375  0.3515  2 Rh 2.84
Er  0.2500  0.9900  0.0682  3 Rh 2.88-3.20, 1 Te 3.18
Te  0.2500  0.7570  0.3119  9 Er 3.16-3.42
Rh  0.7500  0.2344  0.4501  7 Er 2.83-3.08
Er  0.7500  0.8573  0.4511  3 Rh 2.83-3.08
Te  0.7500  0.7430  0.8119  9 Er 3.16-3.42
Er  0.7500  0.9574  0.2153  4 Te 3.16-3.18, 4 Er 3.46-3.51
Er  0.7500  0.0100  0.9318  3 Rh 2.88-3.20, 1 Te 3.18
Er  0.7500  0.8625  0.6485  2 Rh 2.84
Rh  0.2500  0.2656  0.9501  7 Er 2.83-3.08
Er  0.7500  0.5100  0.5682  3 Rh 2.88-3.20, 1 Te 3.18
Er  0.2500  0.1427  0.5489  3 Rh 2.83-3.08


no.,theoretical density (g/cm3)
1,10.030
2,7.642
3,9.068
4,10.018
5,8.498
6,9.672